VASP calculation (PBE-GGA) on a relaxed InTeAsSe2 crystal.

Properties
The symmetry is P4/mmm (123). For the energy relative to the lowest polymorph listed for this composition, the calculation gives 0.000 eV per formula unit.

Cell: 5.655 5.655 5.661 Å, 90.00 90.00 90.00°
Site moments in Bohr magnetons follow the coordinates.
Fractional coordinates of all 5 atoms:
Te1 0.000 0.000 0.000  -0.03
In1 0.500 0.500 0.500  0.01
As1 0.000 0.000 0.500  0.62
Se1 0.000 0.500 0.000  0.12
Se2 0.500 0.000 0.000  0.12


VASP calculation (PBE-GGA) on a relaxed TiInAsSe2 crystal.

Properties
The symmetry is P4/mmm (123). For the energy relative to the lowest polymorph listed for this composition, the calculation gives 0.000 eV per formula unit.

Cell: 4.976 4.976 5.044 Å, 90.00 90.00 90.00°
Fractional coordinates of all 5 atoms:
As1 0.000 0.000 0.500
Se1 0.000 0.500 0.000
Se2 0.500 0.000 0.000
In1 0.500 0.500 0.500
Ti1 0.000 0.000 0.000


VASP calculation (PBE-GGA) on a relaxed TlInAsSe2 crystal.

Properties
The symmetry is P4/mmm (123). For the energy relative to the lowest polymorph listed for this composition, the calculation gives 0.000 eV per formula unit.

Cell: 5.426 5.426 5.347 Å, 90.00 90.00 90.00°
Site moments in Bohr magnetons follow the coordinates.
Fractional coordinates of all 5 atoms:
Se1 0.000 0.500 0.000  0.06
Se2 0.500 0.000 0.000  0.06
Tl1 0.500 0.500 0.500  0.01
In1 0.000 0.000 0.000  -0.01
As1 0.000 0.000 0.500  0.46


VASP calculation (PBE-GGA) on a relaxed Tm6InAs2Se3 crystal.

Properties
The symmetry is C2/m (12).

Cell: 4.038 8.301 9.174 Å, 102.86 102.71 90.00°
Fractional coordinates of all 12 atoms:
Tm1 0.332 0.906 0.663
Tm2 0.002 0.260 0.005
Tm3 0.329 0.424 0.658
Tm4 0.998 0.740 0.995
Tm5 0.671 0.576 0.342
Tm6 0.668 0.094 0.337
Se1 0.832 0.169 0.664
Se2 0.168 0.831 0.336
Se3 0.500 0.500 0.000
As1 0.833 0.664 0.665
As2 0.167 0.336 0.335
In1 0.500 0.000 0.000


VASP calculation (PBE-GGA) on a relaxed InAsWSe2 crystal.

Properties
The symmetry is P4/mmm (123). For the energy relative to the lowest polymorph listed for this composition, the calculation gives 0.000 eV per formula unit.

Cell: 5.155 5.155 5.152 Å, 90.00 90.00 90.00°
Fractional coordinates of all 5 atoms:
In1 0.500 0.500 0.500
Se1 0.000 0.500 0.000
Se2 0.500 0.000 0.000
As1 0.000 0.000 0.500
W1 0.000 0.000 0.000


VASP calculation (PBE-GGA) on a relaxed InAs2WSe crystal.

Properties
The symmetry is P4/mmm (123).

Cell: 4.928 4.928 5.098 Å, 90.00 90.00 90.00°
Fractional coordinates of all 5 atoms:
W1 0.000 0.000 0.000
In1 0.500 0.500 0.500
Se1 0.000 0.000 0.500
As1 0.500 0.000 0.000
As2 0.000 0.500 0.000


VASP calculation (PBE-GGA) on a relaxed ZnInAsSe2 crystal.

Properties
The symmetry is P4/mmm (123). For the energy relative to the lowest polymorph listed for this composition, the calculation gives 1.856 eV per formula unit.

Cell: 5.282 5.282 5.376 Å, 90.00 90.00 90.00°
Site moments in Bohr magnetons follow the coordinates.
Fractional coordinates of all 5 atoms:
Zn1 0.500 0.500 0.500  -0.02
As1 0.000 0.000 0.500  0.38
In1 0.000 0.000 0.000  0.00
Se1 0.000 0.500 0.000  0.05
Se2 0.500 0.000 0.000  0.05


VASP calculation (PBE-GGA) on a relaxed ZnInAsSe2 crystal.

Properties
The symmetry is P4/mmm (123). For the energy relative to the lowest polymorph listed for this composition, the calculation gives 0.000 eV per formula unit.

Cell: 5.103 5.103 4.815 Å, 90.00 90.00 90.00°
Fractional coordinates of all 5 atoms:
As1 0.000 0.000 0.500
Zn1 0.000 0.000 0.000
Se1 0.500 0.000 0.000
Se2 0.000 0.500 0.000
In1 0.500 0.500 0.500


VASP calculation (PBE-GGA) on a relaxed ZnInAs2Se crystal.

Properties
The symmetry is P4/mmm (123). For the energy relative to the lowest polymorph listed for this composition, the calculation gives 0.000 eV per formula unit.

Cell: 4.868 4.868 5.245 Å, 90.00 90.00 90.00°
Fractional coordinates of all 5 atoms:
Se1 0.000 0.000 0.500
Zn1 0.000 0.000 0.000
In1 0.500 0.500 0.500
As1 0.000 0.500 0.000
As2 0.500 0.000 0.000


VASP calculation (PBE-GGA) on a relaxed ZnInAs2Se crystal.

Properties
The symmetry is P4/mmm (123). For the energy relative to the lowest polymorph listed for this composition, the calculation gives 2.027 eV per formula unit.

Cell: 5.294 5.294 5.299 Å, 90.00 90.00 90.00°
Site moments in Bohr magnetons follow the coordinates.
Fractional coordinates of all 5 atoms:
In1 0.000 0.000 0.000  0.01
As1 0.000 0.500 0.000  0.25
As2 0.500 0.000 0.000  0.25
Se1 0.000 0.000 0.500  0.11
Zn1 0.500 0.500 0.500  0.04


VASP calculation (PBE-GGA) on a relaxed InSiAs2 crystal.

Properties
The symmetry is C2/m (12). For the energy relative to the lowest polymorph listed for this composition, the calculation gives 1.575 eV per formula unit.

Cell: 5.704 5.755 2.917 Å, 81.60 77.49 116.15°
Fractional coordinates of all 4 atoms:
As1 0.000 0.000 0.000
As2 0.500 0.000 0.500
Si1 0.500 0.500 0.000
In1 0.000 0.500 0.500


VASP calculation (PBE-GGA) on a relaxed InSiAs2 crystal.

Properties
The symmetry is F-43m (216). For the energy relative to the lowest polymorph listed for this composition, the calculation gives 1.584 eV per formula unit.

Cell: 4.843 4.843 4.843 Å, 60.00 60.00 60.00°
Fractional coordinates of all 4 atoms:
As1 0.000 0.000 0.000
As2 0.750 0.750 0.750
In1 0.500 0.500 0.500
Si1 0.250 0.250 0.250


Record order is preserved below.
Final energy: -15.12; -23.86; -15.45; -66.14; -26.12; -26.95; -12.21; -14.07; -14.47; -12.44; -15.72; -15.71 eV per cell